#A
# ScHgSCl2

An optimized crystal structure of ScHgSCl2 (GGA-PBE, Alexandria via LeMat-Bulk).

Unit cell a=5.165 b=5.165 c=5.143 alpha=90.00 beta=90.00 gamma=90.00
Atoms (fractional coordinates):
Sc (0.000, 0.000, 0.000)
Hg (0.500, 0.500, 0.500)
S (0.500, 0.500, 0.000)
Cl (0.000, 0.500, 0.500)
Cl (0.500, 0.000, 0.500)

***

#B
# ScHgSCl2

An optimized crystal structure of ScHgSCl2 (GGA-PBE, Alexandria via LeMat-Bulk).

Unit cell a=4.938 b=4.938 c=5.178 alpha=90.00 beta=90.00 gamma=90.00
Atoms (fractional coordinates):
Sc (0.000, 0.000, 0.000)
Hg (0.500, 0.500, 0.500)
S (0.000, 0.000, 0.500)
Cl (0.000, 0.500, 0.000)
Cl (0.500, 0.000, 0.000)

***

Ranking the structures above by energy, #B is first and the second is 96.6 kJ/mol of atoms behind.